Entry 1:
# CuTc2O2 PBE-GGA relaxed
data_CuTc2O2
_cell_length_a 6.6116
_cell_length_b 6.6116
_cell_length_c 2.5577
_cell_angle_alpha 90.00
_cell_angle_beta 90.00
_cell_angle_gamma 90.00
_space_group_name_H-M_alt 'P 4/m b m'
_space_group_IT_number 127
_space_group_name_Hall '-P 4 2ab'
loop_
_atom_site_label
_atom_site_type_symbol
_atom_site_fract_x
_atom_site_fract_y
_atom_site_fract_z
_atom_site_occupancy
Cu1 Cu 0.0000 0.0000 0.0000 1
Tc1 Tc 0.1766 0.3234 0.0000 1
O1 O 0.1340 0.6340 0.5000 1
# energy relative to the elements, uncorrected: 0.2095 eV per atom


Entry 2:
# CuTcO PBE-GGA relaxed
data_CuTcO
_cell_length_a 2.7446
_cell_length_b 3.9778
_cell_length_c 14.4465
_cell_angle_alpha 90.00
_cell_angle_beta 90.00
_cell_angle_gamma 90.00
_space_group_name_H-M_alt 'A m m 2'
_space_group_IT_number 38
_space_group_name_Hall 'A 2 -2'
loop_
_atom_site_label
_atom_site_type_symbol
_atom_site_fract_x
_atom_site_fract_y
_atom_site_fract_z
_atom_site_occupancy
Cu1 Cu 0.0000 0.0000 0.0000 1
Cu2 Cu 0.5000 0.0000 0.4206 1
Tc1 Tc 0.0000 0.0000 0.1900 1
Tc2 Tc 0.5000 0.0000 0.5912 1
O1 O 0.0000 0.0000 0.6960 1
O2 O 0.5000 0.0000 0.2886 1
# energy relative to the elements, uncorrected: -0.4915 eV per atom


Entry 3:
# CuTcO PBE-GGA relaxed
data_CuTcO
_cell_length_a 2.7468
_cell_length_b 2.7468
_cell_length_c 5.4837
_cell_angle_alpha 90.00
_cell_angle_beta 90.00
_cell_angle_gamma 120.00
_space_group_name_H-M_alt 'P 3 m 1'
_space_group_IT_number 156
_space_group_name_Hall 'P 3 -2"'
loop_
_atom_site_label
_atom_site_type_symbol
_atom_site_fract_x
_atom_site_fract_y
_atom_site_fract_z
_atom_site_occupancy
Cu1 Cu 0.0000 0.0000 0.0000 1
Tc1 Tc 0.6667 0.3333 0.3927 1
O1 O 0.0000 0.0000 0.6271 1
# energy relative to the elements, uncorrected: -0.5511 eV per atom